VASP calculation (GGA-PBE) on a relaxed CaNi6P2 crystal.

Computed properties:
total energy: -50.67 eV per formula unit
N(E_F): 4.9 states/eV/cell
formation enthalpy at 0 K: -0.3511 eV per atom

Cell and atoms, written as CIF:
```
data_CaNi6P2
_space_group_name_H-M_alt 'P 1'
_space_group_IT_number 1
_cell_length_a 3.763
_cell_length_b 6.100
_cell_length_c 6.100
_cell_angle_alpha 71.35
_cell_angle_beta 71.98
_cell_angle_gamma 71.98
loop_
_space_group_symop_operation_xyz
'x,y,z'
loop_
_atom_site_label
_atom_site_type_symbol
_atom_site_fract_x
_atom_site_fract_y
_atom_site_fract_z
P1 P 0.306 0.694 0.694
Ni1 Ni 0.196 0.129 0.479
Ni2 Ni 0.804 0.521 0.871
Ni3 Ni 0.500 0.682 0.318
Ni4 Ni 0.196 0.479 0.129
Ni5 Ni 0.500 0.318 0.682
Ni6 Ni 0.804 0.871 0.521
Ca1 Ca 0.000 0.000 0.000
P2 P 0.694 0.306 0.306
```